A geometry-optimized LaHo3Tl3 structure. Source: Alexandria, functional PBE-GGA.

Properties
D(E_F) in states/eV per cell: 31.5
Calculated formation energy in eV/atom: -0.256

Unit cell a=9.428 b=9.428 c=9.428 alpha=90.00 beta=90.00 gamma=90.00
Space group P2_13 (No. 198)
Inequivalent atoms, fractional coordinates:
La: 0.065 0.435 0.565
Ho: 0.091 0.591 0.909
Ho: 0.177 0.177 0.177
Ho: 0.184 0.816 0.316
Tl: 0.001 0.270 0.890


A geometry-optimized LaHo12Tl3 structure. Source: Alexandria, functional PBE-GGA.

Properties
D(E_F) in states/eV per cell: 21.8
Calculated formation energy in eV/atom: -0.110

Unit cell a=4.848 b=4.848 c=19.936 alpha=90.00 beta=90.00 gamma=90.00
Space group P4/mmm (No. 123)
Inequivalent atoms, fractional coordinates:
La: 0.000 0.000 0.000
Ho: 0.000 0.500 0.134
Ho: 0.000 0.500 0.378
Ho: 0.500 0.500 0.000
Ho: 0.500 0.500 0.258
Ho: 0.500 0.500 0.500
Tl: 0.000 0.000 0.258
Tl: 0.000 0.000 0.500


A geometry-optimized La2HoTl3 structure. Source: Alexandria, functional PBE-GGA.

Properties
D(E_F) in states/eV per cell: 4.7
Calculated formation energy in eV/atom: -0.399

Unit cell a=3.854 b=3.854 c=12.102 alpha=90.00 beta=90.00 gamma=90.00
Space group P4/mmm (No. 123)
Inequivalent atoms, fractional coordinates:
La: 0.000 0.000 0.174
Ho: 0.000 0.000 0.500
Tl: 0.500 0.500 0.000
Tl: 0.500 0.500 0.350


| no. | V (Å³/f.u.) | final energy (eV/cell) |
| --- | --- | --- |
| 1 | 209.50 | -110.20 |
| 2 | 468.48 | -68.71 |
| 3 | 179.73 | -23.93 |